# GdDyGaFe | Alexandria via LeMat-Bulk | PBE | relaxed
# * DOS at the Fermi energy: 6.90 states/eV/f.u.
# * raw total energy: -7.724 eV/atom
data_GdDyGaFe
_chemical_formula_sum 'Gd4 Dy4 Ga4 Fe4'
_cell_length_a 7.0199
_cell_length_b 7.0199
_cell_length_c 7.0199
_cell_angle_alpha 90.00
_cell_angle_beta 90.00
_cell_angle_gamma 90.00
_symmetry_space_group_name_H-M 'F -4 3 m'
_symmetry_Int_Tables_number 216
_symmetry_space_group_name_Hall 'F -4 2 3'
loop_
_atom_site_label
_atom_site_type_symbol
_atom_site_fract_x
_atom_site_fract_y
_atom_site_fract_z
_atom_site_occupancy
Gd1 Gd 0.0000 0.0000 0.0000 1
Dy1 Dy 0.0000 0.0000 0.5000 1
Ga1 Ga 0.2500 0.2500 0.2500 1
Fe1 Fe 0.2500 0.2500 0.7500 1